[1]
Y2TiAlAu PBE-GGA optimized geometry; SG = P4/mmm (123); calculated formation energy = 0.41 eV/atom
1.0
5.4993 0.0000 0.0000
0.0000 4.6198 0.0000
0.0000 0.0000 5.4993
Y Au Al Ti
2 1 1 1
Cartesian
0.0000 0.0000 2.7496 Y
2.7496 0.0000 0.0000 Y
0.0000 2.3099 0.0000 Au
0.0000 0.0000 0.0000 Al
2.7496 2.3099 2.7496 Ti



[2]
Y2TiAl4Au3 PBE-GGA optimized geometry; SG = P-4m2 (115); calculated formation energy = -0.61 eV/atom
1.0
-0.2126 0.5514 4.1595
2.5722 -3.2733 0.5654
8.9026 6.9160 -0.4618
Y Ti Al Au
2 1 4 3
Cartesian
2.1379 2.0191 1.9633 Y
7.9445 3.5359 -0.0627 Y
5.6311 2.0971 2.1316 Ti
1.1798 -1.3610 2.3625 Al
0.0000 0.0000 0.0000 Al
5.6250 4.7281 1.7824 Al
4.4574 0.8270 0.1182 Al
4.4513 3.4580 -0.2309 Au
7.5996 6.2621 1.6800 Au
2.4828 -0.7070 0.2206 Au



[3]
TiAlZnAu PBE-GGA optimized geometry; SG = Pmmm (47); calculated formation energy = -0.38 eV/atom
1.0
3.9075 0.0000 0.0000
0.0000 4.0372 0.0000
0.0000 0.0000 4.0494
Ti Al Zn Au
1 1 1 1
Cartesian
0.0000 0.0000 0.0000 Ti
1.9538 0.0000 2.0247 Al
1.9538 2.0186 0.0000 Zn
0.0000 2.0186 2.0247 Au